Entry 1:
First-principles (GGA-PBE) data for a relaxed structure of Lu2Ta4Pb3N3, as listed in OQMD.

Unit cell a=5.8721 b=5.8722 c=14.2285 alpha=78.72 beta=78.72 gamma=60.57
With the nearest neighbours (Å) after each atom.
Sites, in units of the cell vectors:
Lu  0.3619  0.5283  0.9089  3 N 2.27-2.33
N  0.8154  0.3412  0.5001  4 Ta 2.21-2.24, 2 Lu 2.27-2.28
Pb  0.9440  0.0560  0.2500  2 Lu 3.07, 4 Ta 3.09-3.11, 4 Pb 3.25-3.26
Lu  0.4717  0.6381  0.5911  3 N 2.27-2.33
N  0.5000  0.0000  0.5000  4 Ta 2.20-2.23, 2 Lu 2.33
Ta  0.1335  0.3089  0.5713  3 N 2.21-2.24
Pb  0.5790  0.7816  0.2513  2 Lu 3.05-3.08, 4 Ta 3.11-3.14, 4 Pb 3.25-3.28
Ta  0.0364  0.1802  0.9291  3 N 2.20-2.24
Ta  0.8665  0.6911  0.4287  3 N 2.21-2.24
N  0.3412  0.8155  0.0000  4 Ta 2.21-2.24, 2 Lu 2.27-2.28
Pb  0.4210  0.2184  0.7487  2 Lu 3.05-3.08, 4 Ta 3.11-3.14, 4 Pb 3.25-3.28
Pb  0.7816  0.5790  0.7514  2 Lu 3.05-3.08, 4 Ta 3.11-3.14, 4 Pb 3.25-3.28
Ta  0.6911  0.8665  0.9288  3 N 2.21-2.24
Lu  0.6381  0.4717  0.0911  3 N 2.27-2.33
N  0.1846  0.6588  0.4999  4 Ta 2.21-2.24, 2 Lu 2.27-2.28
Lu  0.5283  0.3618  0.4089  3 N 2.27-2.33
Pb  0.0560  0.9440  0.7500  2 Lu 3.07, 4 Ta 3.09-3.11, 4 Pb 3.25-3.26
Ta  0.1802  0.0364  0.4291  3 N 2.20-2.24
Pb  0.2184  0.4210  0.2486  2 Lu 3.05-3.08, 4 Ta 3.11-3.14, 4 Pb 3.25-3.28
N  0.0000  0.5000  0.0000  4 Ta 2.20-2.23, 2 Lu 2.33
Ta  0.8198  0.9636  0.5709  3 N 2.20-2.24
N  0.6588  0.1845  0.0000  4 Ta 2.21-2.24, 2 Lu 2.27-2.28
Ta  0.9636  0.8198  0.0709  3 N 2.20-2.24
Ta  0.3089  0.1335  0.0712  3 N 2.21-2.24

## Properties
* E_tot: -8.248 eV/atom
* mass density: 13.86 g/cm3


Entry 2:
First-principles (GGA-PBE) data for a relaxed structure of Lu4Pb3W2N3, as listed in OQMD.

Unit cell a=5.9316 b=5.9316 c=14.6623 alpha=100.65 beta=100.65 gamma=59.98
With the nearest neighbours (Å) after each atom.
Sites, in units of the cell vectors:
N  0.3265  0.8471  0.5005  2 W 2.19-2.20, 4 Lu 2.30-2.32
Lu  0.9807  0.7979  0.4158  3 N 2.28-2.31
Lu  0.0193  0.2021  0.5842  3 N 2.28-2.31
Lu  0.8500  0.6971  0.0841  3 N 2.28-2.32
Lu  0.3029  0.1500  0.4159  3 N 2.28-2.32
N  0.1529  0.6735  0.9995  2 W 2.19-2.20, 4 Lu 2.30-2.32
N  0.8471  0.3265  0.0005  2 W 2.19-2.20, 4 Lu 2.30-2.32
Lu  0.1500  0.3029  0.9159  3 N 2.28-2.32
W  0.5197  0.3852  0.0693  3 N 2.19-2.37
Lu  0.6971  0.8500  0.5841  3 N 2.28-2.32
Pb  0.4176  0.2698  0.7471  4 Lu 3.11-3.16, 2 W 3.15-3.16, 2 Pb 3.19
Pb  0.7302  0.5824  0.7529  4 Lu 3.11-3.16, 2 W 3.15-3.16, 2 Pb 3.19
N  0.5000  0.0000  0.0000  4 Lu 2.28, 2 W 2.37
N  0.0000  0.5000  0.5000  4 Lu 2.28, 2 W 2.37
Pb  0.8921  0.1079  0.2500  4 Lu 3.13-3.18, 2 Pb 3.19, 2 W 3.23
Lu  0.7979  0.9807  0.9158  3 N 2.28-2.31
N  0.6735  0.1529  0.4995  2 W 2.19-2.20, 4 Lu 2.30-2.32
Pb  0.5824  0.7302  0.2529  4 Lu 3.11-3.16, 2 W 3.15-3.16, 2 Pb 3.19
Lu  0.2021  0.0193  0.0842  3 N 2.28-2.31
Pb  0.2698  0.4176  0.2471  4 Lu 3.11-3.16, 2 W 3.15-3.16, 2 Pb 3.19
W  0.6148  0.4803  0.4307  3 N 2.19-2.37
W  0.4803  0.6148  0.9307  3 N 2.19-2.37
Pb  0.1079  0.8921  0.7500  4 Lu 3.13-3.18, 2 Pb 3.19, 2 W 3.23
W  0.3852  0.5197  0.5693  3 N 2.19-2.37

## Properties
* E_tot: -7.260 eV/atom
* mass density: 13.17 g/cm3


Entry 3:
First-principles (GGA-PBE) data for a relaxed structure of Lu2Pb3W4N3, as listed in OQMD.

Unit cell a=5.8779 b=5.8779 c=14.0784 alpha=101.53 beta=101.53 gamma=59.90
With the nearest neighbours (Å) after each atom.
Sites, in units of the cell vectors:
W  0.9616  0.8316  0.9322  3 N 2.11-2.23
Pb  0.5771  0.7843  0.7460  2 Lu 3.06-3.08, 4 W 3.13-3.17, 4 Pb 3.24-3.25
Pb  0.4229  0.2157  0.2540  2 Lu 3.06-3.08, 4 W 3.13-3.17, 4 Pb 3.24-3.25
W  0.3098  0.1283  0.9334  3 N 2.12-2.23
W  0.6902  0.8717  0.0666  3 N 2.12-2.23
Lu  0.3547  0.5277  0.0913  3 N 2.28-2.30
W  0.8316  0.9616  0.4322  3 N 2.11-2.23
N  0.8208  0.3391  0.5004  4 W 2.11-2.23, 2 Lu 2.30
Lu  0.6453  0.4723  0.9087  3 N 2.28-2.30
N  0.6609  0.1792  0.9996  4 W 2.11-2.23, 2 Lu 2.30
N  0.3391  0.8208  0.0004  4 W 2.11-2.23, 2 Lu 2.30
N  0.0000  0.5000  0.0000  4 W 2.20-2.23, 2 Lu 2.28
N  0.1792  0.6609  0.4996  4 W 2.11-2.23, 2 Lu 2.30
Pb  0.2157  0.4229  0.7540  2 Lu 3.06-3.08, 4 W 3.13-3.17, 4 Pb 3.24-3.25
N  0.5000  0.0000  0.5000  4 W 2.20-2.23, 2 Lu 2.28
Pb  0.0561  0.9439  0.2500  2 Lu 3.02, 4 W 3.07-3.12, 4 Pb 3.24-3.25
W  0.0384  0.1684  0.0678  3 N 2.11-2.23
Pb  0.7843  0.5771  0.2460  2 Lu 3.06-3.08, 4 W 3.13-3.17, 4 Pb 3.24-3.25
W  0.8717  0.6902  0.5666  3 N 2.12-2.23
W  0.1684  0.0384  0.5678  3 N 2.11-2.23
Pb  0.9439  0.0561  0.7500  2 Lu 3.02, 4 W 3.07-3.12, 4 Pb 3.24-3.25
Lu  0.5277  0.3547  0.5913  3 N 2.28-2.30
W  0.1283  0.3098  0.4334  3 N 2.12-2.23
Lu  0.4723  0.6453  0.4087  3 N 2.28-2.30

## Properties
* E_tot: -8.145 eV/atom
* mass density: 14.18 g/cm3


Entry 4:
First-principles (GGA-PBE) data for a relaxed structure of Y2Lu4Pb3N3, as listed in OQMD.

Unit cell a=6.0584 b=6.0584 c=15.6900 alpha=101.15 beta=101.15 gamma=60.00
With the nearest neighbours (Å) after each atom.
Sites, in units of the cell vectors:
Pb  0.9266  0.0734  0.2500  2 Y 3.26, 4 Lu 3.26, 6 Pb 3.45-3.60
N  0.5000  0.0000  0.0000  4 Lu 2.37, 2 Y 2.43
Y  0.3645  0.5292  0.5864  3 N 2.43-2.46
N  0.3271  0.8460  0.5000  4 Lu 2.33-2.37, 2 Y 2.45-2.46
Lu  0.8039  0.9751  0.9186  3 N 2.34-2.37
Pb  0.5839  0.7598  0.2507  2 Y 3.25, 4 Lu 3.25-3.26, 6 Pb 3.45-3.60
N  0.8460  0.3271  0.0000  4 Lu 2.33-2.37, 2 Y 2.45-2.46
N  0.6729  0.1540  0.5000  4 Lu 2.33-2.37, 2 Y 2.45-2.46
Lu  0.1418  0.3060  0.9186  3 N 2.33-2.37
Pb  0.0734  0.9266  0.7500  2 Y 3.26, 4 Lu 3.26, 6 Pb 3.45-3.60
Lu  0.8582  0.6940  0.0814  3 N 2.33-2.37
Y  0.4708  0.6355  0.9136  3 N 2.43-2.46
Pb  0.4161  0.2402  0.7493  2 Y 3.25, 4 Lu 3.25-3.26, 6 Pb 3.45-3.60
Y  0.6355  0.4708  0.4136  3 N 2.43-2.46
Lu  0.3060  0.1418  0.4186  3 N 2.33-2.37
Lu  0.0249  0.1961  0.5814  3 N 2.34-2.37
Pb  0.7598  0.5839  0.7507  2 Y 3.25, 4 Lu 3.25-3.26, 6 Pb 3.45-3.60
Pb  0.2402  0.4161  0.2493  2 Y 3.25, 4 Lu 3.25-3.26, 6 Pb 3.45-3.60
N  0.1540  0.6729  0.0000  4 Lu 2.33-2.37, 2 Y 2.45-2.46
N  0.0000  0.5000  0.5000  4 Lu 2.37, 2 Y 2.43
Lu  0.6940  0.8582  0.5814  3 N 2.33-2.37
Lu  0.9751  0.8039  0.4186  3 N 2.34-2.37
Y  0.5292  0.3645  0.0864  3 N 2.43-2.46
Lu  0.1961  0.0249  0.0814  3 N 2.34-2.37

## Properties
* E_tot: -6.703 eV/atom
* mass density: 10.53 g/cm3